1.
Computed, not measured: crystalline MgHgAs at its relaxed geometry at the GGA-PBE level of DFT.

Computed properties:
The value obtained for the raw total energy is -2.232 eV/atom. As for the energy of formation from the pure elements: -4.86 kJ per mole of atoms.

Cell: 3.2241 3.2241 12.5613 Å, 90.00 90.00 90.00°
Space group I4mm (No. 107)
Symmetry-distinct sites (fractional):
Mg1 0.0000 0.0000 0.0000 (multiplicity 2)
Hg1 0.0000 0.0000 0.3290 (multiplicity 2)
As1 0.0000 0.0000 0.6349 (multiplicity 2)

2.
Computed, not measured: crystalline MgHgAs2 at its relaxed geometry at the GGA-PBE level of DFT.

Computed properties:
The value obtained for the raw total energy is -2.712 eV/atom. As for the energy of formation from the pure elements: 8.36 kJ per mole of atoms.

Cell: 4.0695 4.0695 10.1297 Å, 90.00 90.00 90.00°
Space group I-4m2 (No. 119)
Symmetry-distinct sites (fractional):
Mg1 0.0000 0.0000 0.0000 (multiplicity 2)
Hg1 0.0000 0.5000 0.2500 (multiplicity 2)
As1 0.0000 0.0000 0.5000 (multiplicity 2)
As2 0.0000 0.5000 0.7500 (multiplicity 2)

3.
Computed, not measured: crystalline MgHgAs at its relaxed geometry at the GGA-PBE level of DFT.

Computed properties:
The value obtained for the raw total energy is -2.277 eV/atom. As for the energy of formation from the pure elements: -9.21 kJ per mole of atoms.

Cell: 6.5415 6.5415 6.5415 Å, 90.00 90.00 90.00°
Space group F-43m (No. 216)
Symmetry-distinct sites (fractional):
Mg1 0.0000 0.0000 0.0000 (multiplicity 4)
Hg1 0.2500 0.2500 0.2500 (multiplicity 4)
As1 0.2500 0.2500 0.7500 (multiplicity 4)

4.
Computed, not measured: crystalline MgHg2As at its relaxed geometry at the GGA-PBE level of DFT.

Computed properties:
The value obtained for the raw total energy is -1.742 eV/atom. As for the energy of formation from the pure elements: -2.89 kJ per mole of atoms.

Cell: 5.8798 5.9937 10.5367 Å, 90.00 90.00 90.00°
Space group Fmmm (No. 69)
Symmetry-distinct sites (fractional):
Mg1 0.0000 0.0000 0.0000 (multiplicity 4)
Hg1 0.0000 0.2500 0.2500 (multiplicity 8)
As1 0.0000 0.0000 0.5000 (multiplicity 4)

5.
Computed, not measured: crystalline Mg2HgAs2 at its relaxed geometry at the GGA-PBE level of DFT.

Computed properties:
The value obtained for the raw total energy is -2.781 eV/atom. As for the energy of formation from the pure elements: -21.51 kJ per mole of atoms.

Cell: 8.1929 8.1929 3.1284 Å, 90.00 90.00 90.00°
Space group P4/mbm (No. 127)
Symmetry-distinct sites (fractional):
Mg1 0.1427 0.3573 0.0000 (multiplicity 4)
Hg1 0.0000 0.0000 0.5000 (multiplicity 2)
As1 0.1557 0.6557 0.5000 (multiplicity 4)

6.
Computed, not measured: crystalline MgHgAs2 at its relaxed geometry at the GGA-PBE level of DFT.

Computed properties:
The value obtained for the raw total energy is -2.860 eV/atom. As for the energy of formation from the pure elements: -5.87 kJ per mole of atoms.

Cell: 3.5494 3.6383 8.2082 Å, 90.00 90.09 90.00°
Space group P2/m (No. 10)
Symmetry-distinct sites (fractional):
Mg1 0.0000 0.0000 0.0000 (multiplicity 1)
Hg1 0.0000 0.0000 0.5000 (multiplicity 1)
As1 0.5005 0.5000 0.1484 (multiplicity 2)

7.
Computed, not measured: crystalline MgHg2As at its relaxed geometry at the GGA-PBE level of DFT.

Computed properties:
The value obtained for the raw total energy is -1.668 eV/atom. As for the energy of formation from the pure elements: 4.24 kJ per mole of atoms.

Cell: 3.4286 3.4286 26.3686 Å, 90.00 90.00 120.00°
Space group R-3m (No. 166, hexagonal axes)
Symmetry-distinct sites (fractional):
Mg1 0.0000 0.0000 0.0000 (multiplicity 3)
Hg1 0.0000 0.0000 0.2522 (multiplicity 6)
As1 0.0000 0.0000 0.5000 (multiplicity 3)

8.
Computed, not measured: crystalline Mg3HgAs at its relaxed geometry at the GGA-PBE level of DFT.

Computed properties:
The value obtained for the raw total energy is -1.674 eV/atom. As for the energy of formation from the pure elements: 26.30 kJ per mole of atoms.

Cell: 5.1422 5.1422 5.1422 Å, 90.00 90.00 90.00°
Space group Pm-3m (No. 221)
Symmetry-distinct sites (fractional):
Mg1 0.0000 0.0000 0.5000 (multiplicity 3)
Hg1 0.0000 0.0000 0.0000 (multiplicity 1)
As1 0.5000 0.5000 0.5000 (multiplicity 1)